(1)
DFT (PBE) results for a relaxed Cu3SiAu crystal.

Unit cell a=4.608 b=4.608 c=15.919 alpha=90.00 beta=90.00 gamma=90.00
Space group I-4m2 (No. 119)
Unique sites:
Cu 0.000 0.000 0.195
Cu 0.000 0.249 0.372
Si 0.000 0.000 0.500
Si 0.000 0.500 0.250
Au 0.000 0.500 0.565

Values from the calculation:
spin magnetization	0.0	μB per formula unit
excess energy over the best structure of this formula in the dataset	12.9	kJ/mol of atoms
raw total energy	-20.073	eV per formula unit
energy relative to the elements, uncorrected	4.22	kcal/mol of atoms
volume	84.5	Å³/f.u.
crystal system	tetragonal

(2)
DFT (PBE) results for a relaxed CuSiAu2 crystal.

Unit cell a=4.246 b=4.246 c=3.491 alpha=90.00 beta=90.00 gamma=90.00
Space group P4/mmm (No. 123)
Unique sites:
Cu 0.000 0.000 0.000
Si 0.500 0.500 0.000
Au 0.000 0.500 0.500

Values from the calculation:
spin magnetization	0.0	μB per formula unit
raw total energy	-15.651	eV per formula unit
energy relative to the elements, uncorrected	2.44	kcal/mol of atoms
volume	62.9	Å³/f.u.
crystal system	tetragonal

(3)
DFT (PBE) results for a relaxed Cu3SiAu6 crystal.

Unit cell a=7.602 b=5.461 c=10.895 alpha=90.00 beta=134.08 gamma=90.00
Space group P2_1/c (No. 14)
Unique sites:
Cu 0.000 0.000 0.000
Cu 0.250 0.238 0.758
Si 0.500 0.000 0.500
Au 0.112 0.097 0.437
Au 0.263 0.607 0.438
Au 0.396 0.744 0.753

Values from the calculation:
spin magnetization	0.0	μB per formula unit
raw total energy	-37.286	eV per formula unit
energy relative to the elements, uncorrected	0.21	kcal/mol of atoms
volume	162.5	Å³/f.u.
crystal system	monoclinic

(4)
DFT (PBE) results for a relaxed Cu3SiAu crystal.

Unit cell a=4.724 b=4.724 c=4.724 alpha=90.00 beta=90.00 gamma=90.00
Space group Pm-3m (No. 221)
Unique sites:
Cu 0.000 0.000 0.500
Si 0.500 0.500 0.500
Au 0.000 0.000 0.000

Values from the calculation:
spin magnetization	0.0	μB per formula unit
excess energy over the best structure of this formula in the dataset	94.8	kJ/mol of atoms
raw total energy	-15.829	eV per formula unit
energy relative to the elements, uncorrected	23.80	kcal/mol of atoms
volume	105.4	Å³/f.u.
crystal system	cubic

(5)
DFT (PBE) results for a relaxed CuSiAu2 crystal.

Unit cell a=6.382 b=6.382 c=6.382 alpha=90.00 beta=90.00 gamma=90.00
Space group F-43m (No. 216)
Unique sites:
Cu 0.000 0.000 0.000
Si 0.250 0.250 0.250
Au 0.000 0.000 0.500
Au 0.250 0.250 0.750

Values from the calculation:
spin magnetization	0.0	μB per formula unit
raw total energy	-15.339	eV per formula unit
energy relative to the elements, uncorrected	4.24	kcal/mol of atoms
volume	65.0	Å³/f.u.
crystal system	cubic

(6)
DFT (PBE) results for a relaxed CuSiAu2 crystal.

Unit cell a=7.214 b=7.214 c=5.316 alpha=90.00 beta=90.00 gamma=90.00
Space group I-42d (No. 122)
Unique sites:
Cu 0.000 0.000 0.000
Si 0.000 0.000 0.500
Au 0.222 0.250 0.625

Values from the calculation:
spin magnetization	0.0	μB per formula unit
raw total energy	-15.341	eV per formula unit
energy relative to the elements, uncorrected	4.23	kcal/mol of atoms
volume	69.2	Å³/f.u.
crystal system	tetragonal